SrNi5H11 | PBE | relaxed

## Properties
For the spin magnetization, the calculation gives 0.00 μB/cell. Its total energy is -4.09 eV/atom. Its theoretical density is 4.6 g/cm³.

Cell: 5.1623 5.1623 6.2908 Å, 106.28 106.28 105.74°
With the nearest neighbours (Å) after each atom.
Fractional positions:
Sr (0.0000, 0.0000, 0.0000)  8 H 2.58-2.79
Ni (0.0629, 0.3723, 0.6368)  5 H 1.61-1.77
Ni (0.3723, 0.0629, 0.6368)  5 H 1.61-1.77
Ni (0.5000, 0.5000, 0.0000)  6 H 1.63-1.70
Ni (0.6277, 0.9371, 0.3632)  5 H 1.61-1.77
Ni (0.9371, 0.6277, 0.3632)  5 H 1.61-1.77
H (0.0000, 0.0000, 0.5000)  4 Ni 1.77
H (0.1558, 0.7115, 0.6393)  2 Ni 1.64-1.68
H (0.1622, 0.4725, 0.9232)  2 Ni 1.61-1.63
H (0.2885, 0.8442, 0.3607)  2 Ni 1.64-1.68
H (0.4175, 0.4175, 0.7023)  3 Ni 1.69-1.70
H (0.4725, 0.1622, 0.9232)  2 Ni 1.61-1.63
H (0.5275, 0.8378, 0.0768)  2 Ni 1.61-1.63
H (0.5825, 0.5825, 0.2977)  3 Ni 1.69-1.70
H (0.7115, 0.1558, 0.6393)  2 Ni 1.64-1.68
H (0.8378, 0.5275, 0.0768)  2 Ni 1.61-1.63
H (0.8442, 0.2885, 0.3607)  2 Ni 1.64-1.68